TmPuZnBi | PBE | relaxed Values from VASP.

Structure (Quantum ESPRESSO input):
```
&SYSTEM
  ibrav = 0, nat = 4, ntyp = 4
/
ATOMIC_SPECIES
Tm 168.93 Tm.upf
Pu 244.00 Pu.upf
Zn 65.41 Zn.upf
Bi 208.98 Bi.upf
CELL_PARAMETERS angstrom
0.0000 3.7277 3.7277
3.7277 0.0000 3.7277
3.7277 3.7277 0.0000
ATOMIC_POSITIONS angstrom
Tm 0.0000 0.0000 0.0000
Pu 3.7277 3.7277 3.7277
Zn 1.8639 1.8639 1.8639
Bi 5.5916 5.5916 5.5916
```

Output
* SG: F-43m, No. 216
* total energy: -6.228 eV/atom
* energy of formation from the pure elements: -0.239 eV per atom

Ca2CdNiGe | PBE | relaxed Values from VASP.

Structure (Quantum ESPRESSO input):
```
&SYSTEM
  ibrav = 0, nat = 5, ntyp = 4
/
ATOMIC_SPECIES
Ca 40.08 Ca.upf
Cd 112.41 Cd.upf
Ni 58.69 Ni.upf
Ge 72.64 Ge.upf
CELL_PARAMETERS angstrom
5.4403 0.0000 0.0000
0.0000 5.4403 0.0000
0.0000 0.0000 4.4268
ATOMIC_POSITIONS angstrom
Ca 0.0000 2.7201 0.0000
Ca 2.7201 0.0000 0.0000
Cd 0.0000 0.0000 2.2134
Ni 2.7201 2.7201 0.0000
Ge 2.7201 2.7201 2.2134
```

Output
* SG: P4/mmm, No. 123
* total energy: -3.369 eV/atom
* energy of formation from the pure elements: -0.305 eV per atom

TbReSi2Tc | PBE | relaxed Values from VASP.

Structure (Quantum ESPRESSO input):
```
&SYSTEM
  ibrav = 0, nat = 5, ntyp = 4
/
ATOMIC_SPECIES
Tb 158.93 Tb.upf
Re 186.21 Re.upf
Si 28.09 Si.upf
Tc 98.00 Tc.upf
CELL_PARAMETERS angstrom
-2.0569 2.0569 5.1108
2.0569 -2.0569 5.1108
2.0569 2.0569 -5.1108
ATOMIC_POSITIONS angstrom
Tb 0.0000 0.0000 0.0000
Re 2.0569 0.0000 2.5554
Si 0.0000 0.0000 3.8726
Si 0.0000 0.0000 6.3491
Tc 0.0000 2.0569 2.5554
```

Output
* SG: I-4m2, No. 119
* total energy: -8.204 eV/atom
* uncorrected formation energy: -2.7 eV/f.u.

ZnRuW3 | PBE | relaxed Values from VASP.

Structure (Quantum ESPRESSO input):
```
&SYSTEM
  ibrav = 0, nat = 5, ntyp = 3
/
ATOMIC_SPECIES
Zn 65.41 Zn.upf
Ru 101.07 Ru.upf
W 183.84 W.upf
CELL_PARAMETERS angstrom
4.4830 0.0000 0.0000
0.0000 4.4830 0.0000
0.0000 0.0000 4.4830
ATOMIC_POSITIONS angstrom
Zn 0.0000 0.0000 0.0000
Ru 2.2415 2.2415 2.2415
W 0.0000 0.0000 2.2415
W 0.0000 2.2415 0.0000
W 2.2415 0.0000 0.0000
```

Output
* relative energy among the computed polymorphs: 113 meV per atom
* SG: Pm-3m, No. 221
* total energy: -7.832 eV/atom
* energy of formation from the pure elements: 2.050 eV per atom

RbYMn2Cu | PBE | relaxed Values from VASP.

Structure (Quantum ESPRESSO input):
```
&SYSTEM
  ibrav = 0, nat = 5, ntyp = 4
/
ATOMIC_SPECIES
Rb 85.47 Rb.upf
Y 88.91 Y.upf
Mn 54.94 Mn.upf
Cu 63.55 Cu.upf
CELL_PARAMETERS angstrom
5.2276 0.0000 0.0000
0.0000 5.2276 0.0000
0.0000 0.0000 5.0623
ATOMIC_POSITIONS angstrom
Rb 0.0000 0.0000 0.0000
Y 2.6138 2.6138 2.5312
Mn 0.0000 2.6138 0.0000
Mn 2.6138 0.0000 0.0000
Cu 0.0000 0.0000 2.5312
```

Output
* SG: P4/mmm, No. 123
* total energy: -4.266 eV/atom
* energy of formation from the pure elements: 1.708 eV per atom

KAc2ZrS5 | PBE | relaxed Values from VASP.

Structure (Quantum ESPRESSO input):
```
&SYSTEM
  ibrav = 0, nat = 9, ntyp = 4
/
ATOMIC_SPECIES
K 39.10 K.upf
Ac 227.00 Ac.upf
Zr 91.22 Zr.upf
S 32.06 S.upf
CELL_PARAMETERS angstrom
-2.4453 3.7042 7.1333
2.4453 -3.7042 7.1333
2.4453 3.7042 -7.1333
ATOMIC_POSITIONS angstrom
K 0.0000 0.0000 0.0000
Ac 2.4453 0.0000 4.2139
Ac 0.0000 3.7042 2.9194
Zr 0.0000 0.0000 7.1333
S 2.4453 1.9519 -2.0052
S 2.4453 1.9519 2.0052
S 0.0000 3.7042 0.0000
S 0.0000 1.7523 5.1281
S 0.0000 1.7523 9.1386
```

Output
* SG: Immm, No. 71
* total energy: -6.118 eV/atom
* uncorrected formation energy: -16.6 eV/f.u.

| no. | V (Å³/cell) |
| --- | --- |
| 1 | 103.6 |
| 2 | 131.0 |
| 3 | 86.5 |
| 4 | 90.1 |
| 5 | 138.3 |
| 6 | 258.5 |